A plane-wave DFT calculation with PBE was carried out for a relaxed structure of SrZnCd2.

a = 4.384 Å, b = 4.384 Å, c = 10.968 Å
α = 90.00°, β = 90.00°, γ = 90.00°
Element x y z (fractional)
Cd1 0.000 0.000 0.500
Zn1 0.000 0.500 0.335
Sr1 0.000 0.500 0.765
Sr2 0.500 0.000 0.235
Cd2 0.500 0.000 0.925
Zn2 0.500 0.000 0.665
Cd3 0.500 0.500 0.500
Cd4 0.000 0.500 0.075

**E_tot**: -1.43 eV per atom